No. 1
Density functional theory data (meta-GGA SCAN) for a crystal of TlZn2Se relaxed with PBEsol.

abc: 3.5879 5.3400 5.3400
angles: 67.68 70.37 70.37
Last column: nearest neighbours and their distance in Å.
Atoms (fractional coordinates):
Zn 0.2250 0.7750 0.7750  2 Se 2.56, 2 Tl 2.86
Se 0.5000 0.0000 0.0000  4 Zn 2.56
Tl 0.0000 0.5000 0.5000  4 Zn 2.86
Zn 0.7750 0.2250 0.2250  2 Se 2.56, 2 Tl 2.86

## Properties
Calculated volume, Å³/cell: 87
ΔE_f (raw), eV per atom: 0.035
Size of the total moment, μB/f.u.: 0.0
Offset from the most stable computed form, meV per atom: 0

***

No. 2
Density functional theory data (meta-GGA SCAN) for a crystal of ZrTl2Se relaxed with PBEsol.

abc: 3.6259 4.7297 6.1925
angles: 111.45 105.77 93.16
Last column: nearest neighbours and their distance in Å.
Atoms (fractional coordinates):
Zr 0.5000 0.0000 0.0000  4 Se 2.90-3.06, 4 Tl 3.13
Se 0.0000 0.5000 0.0000  4 Zr 2.90-3.06, 4 Tl 3.13
Tl 0.0000 0.0000 0.5000  4 Tl 2.90-3.06, 2 Zr 3.13, 2 Se 3.13
Tl 0.5000 0.5000 0.5000  4 Tl 2.90-3.06, 2 Se 3.13, 2 Zr 3.13

## Properties
Calculated volume, Å³/cell: 94
ΔE_f (raw), eV per atom: -0.203
Size of the total moment, μB/f.u.: 0.0
Offset from the most stable computed form, meV per atom: 0